Record 1
## Na2Ca2Zn (PBE)

Data for crystalline Na2Ca2Zn at its relaxed geometry.

```
10
Lattice="8.0364 0.0000 0.0000 0.0000 8.0364 0.0000 0.0000 0.0000 5.8402" Properties=species:S:1:pos:R:3 pbc="T T T"
Na 1.2608 2.7575 0.0000
Na 2.7575 6.7757 0.0000
Na 5.2790 1.2608 0.0000
Na 6.7757 5.2790 0.0000
Ca 1.3096 5.3278 2.9201
Ca 2.7086 1.3096 2.9201
Ca 5.3278 6.7268 2.9201
Ca 6.7268 2.7086 2.9201
Zn 0.0000 0.0000 2.9201
Zn 4.0182 4.0182 2.9201
```

Computed properties:
Space-group type: No. 127
Relative energy among the computed polymorphs, eV/atom: 0.2239
Total magnetic moment, μB/cell: 0.00
Raw total energy, eV/atom: -1.450

=====

Record 2
## Na2CaZn (PBE)

Data for crystalline Na2CaZn at its relaxed geometry.

```
4
Lattice="0.0000 3.8599 3.8599 3.8599 0.0000 3.8599 3.8599 3.8599 0.0000" Properties=species:S:1:pos:R:3 pbc="T T T"
Na 1.9299 1.9299 1.9299
Na 5.7898 5.7898 5.7898
Ca 0.0000 0.0000 0.0000
Zn 3.8599 3.8599 3.8599
```

Computed properties:
Space-group type: No. 225
Relative energy among the computed polymorphs, eV/atom: 0.1100
Total magnetic moment, μB/cell: 0.00
Raw total energy, eV/atom: -1.336

=====

Record 3
## NaCa2Zn2 (PBE)

Data for crystalline NaCa2Zn2 at its relaxed geometry.

```
5
Lattice="2.2087 -8.0205 0.0000 2.2087 8.0205 0.0000 0.0000 0.0000 4.0680" Properties=species:S:1:pos:R:3 pbc="T T T"
Na 0.0000 0.0000 0.0000
Ca 2.2087 2.3098 2.0340
Ca 2.2087 -2.3098 2.0340
Zn 2.2087 4.7220 0.0000
Zn 2.2087 -4.7220 0.0000
```

Computed properties:
Space-group type: No. 65
Relative energy among the computed polymorphs, eV/atom: 0.0000
Total magnetic moment, μB/cell: 0.00
Raw total energy, eV/atom: -1.732

=====

Number 1: DOS(E_F) 9.84 states/eV/cell, energy of formation 64 kJ/mol of formula units. Number 2: DOS(E_F) 2.92 states/eV/cell, energy of formation 55 kJ/mol of formula units. Number 3: DOS(E_F) 3.35 states/eV/cell, energy of formation -76 kJ/mol of formula units.